1.
# LaTcAu | Alexandria via LeMat-Bulk | PBEsol | optimized geometry
data_LaTcAu
_chemical_formula_sum 'La1 Tc1 Au1'
_symmetry_space_group_name_H-M 'P 1'
_symmetry_Int_Tables_number 1
_cell_length_a 4.4707
_cell_length_b 4.4707
_cell_length_c 3.8624
_cell_angle_alpha 90.00
_cell_angle_beta 90.00
_cell_angle_gamma 120.00
loop_
_symmetry_equiv_pos_as_xyz
'x,y,z'
loop_
_atom_site_label
_atom_site_type_symbol
_atom_site_fract_x
_atom_site_fract_y
_atom_site_fract_z
La1 La 0.0000 0.0000 0.0000
Tc1 Tc 0.6667 0.3333 0.5000
Au1 Au 0.3333 0.6667 0.5000
# Formation enthalpy at 0 K, eV/atom: 0.083
# Calculated volume, Å³/cell: 66.9
# Symmetry: P-6m2
# N(E_F), states/eV/atom: 1.49

2.
# LaTc2Au | Alexandria via LeMat-Bulk | PBEsol | optimized geometry
data_LaTc2Au
_chemical_formula_sum 'La1 Tc2 Au1'
_symmetry_space_group_name_H-M 'P 1'
_symmetry_Int_Tables_number 1
_cell_length_a 4.2025
_cell_length_b 4.2025
_cell_length_c 4.0628
_cell_angle_alpha 90.00
_cell_angle_beta 90.00
_cell_angle_gamma 90.00
loop_
_symmetry_equiv_pos_as_xyz
'x,y,z'
loop_
_atom_site_label
_atom_site_type_symbol
_atom_site_fract_x
_atom_site_fract_y
_atom_site_fract_z
La1 La 0.0000 0.0000 0.0000
Tc1 Tc 0.0000 0.5000 0.5000
Tc2 Tc 0.5000 0.0000 0.5000
Au1 Au 0.5000 0.5000 0.0000
# Formation enthalpy at 0 K, eV/atom: 0.436
# Calculated volume, Å³/cell: 71.8
# Symmetry: P4/mmm
# N(E_F), states/eV/atom: 1.48

3.
# LaTc2Au | Alexandria via LeMat-Bulk | PBEsol | optimized geometry
data_LaTc2Au
_chemical_formula_sum 'La1 Tc2 Au1'
_symmetry_space_group_name_H-M 'P 1'
_symmetry_Int_Tables_number 1
_cell_length_a 5.9944
_cell_length_b 5.9944
_cell_length_c 5.9944
_cell_angle_alpha 41.38
_cell_angle_beta 41.38
_cell_angle_gamma 41.38
loop_
_symmetry_equiv_pos_as_xyz
'x,y,z'
loop_
_atom_site_label
_atom_site_type_symbol
_atom_site_fract_x
_atom_site_fract_y
_atom_site_fract_z
La1 La 0.0000 0.0000 0.0000
Tc1 Tc 0.4765 0.4765 0.4765
Tc2 Tc 0.7992 0.7992 0.7992
Au1 Au 0.2173 0.2173 0.2173
# Formation enthalpy at 0 K, eV/atom: 0.027
# Calculated volume, Å³/cell: 85.0
# Symmetry: R3m
# N(E_F), states/eV/atom: 0.62

4.
# LaTiTcAu2 | Alexandria via LeMat-Bulk | PBEsol | optimized geometry
data_LaTiTcAu2
_chemical_formula_sum 'La1 Ti1 Tc1 Au2'
_symmetry_space_group_name_H-M 'P 1'
_symmetry_Int_Tables_number 1
_cell_length_a 5.3275
_cell_length_b 5.3275
_cell_length_c 4.6774
_cell_angle_alpha 90.00
_cell_angle_beta 90.00
_cell_angle_gamma 90.00
loop_
_symmetry_equiv_pos_as_xyz
'x,y,z'
loop_
_atom_site_label
_atom_site_type_symbol
_atom_site_fract_x
_atom_site_fract_y
_atom_site_fract_z
La1 La 0.0000 0.0000 0.0000
Ti1 Ti 0.5000 0.5000 0.5000
Tc1 Tc 0.0000 0.0000 0.5000
Au1 Au 0.0000 0.5000 0.0000
Au2 Au 0.5000 0.0000 0.0000
# Formation enthalpy at 0 K, eV/atom: 1.442
# Calculated volume, Å³/cell: 132.8
# Symmetry: P4/mmm
# N(E_F), states/eV/atom: 1.10

5.
# La2TeAu | Alexandria via LeMat-Bulk | PBEsol | optimized geometry
data_La2TeAu
_chemical_formula_sum 'La2 Te1 Au1'
_symmetry_space_group_name_H-M 'P 1'
_symmetry_Int_Tables_number 1
_cell_length_a 4.4156
_cell_length_b 4.4156
_cell_length_c 6.3629
_cell_angle_alpha 90.00
_cell_angle_beta 90.00
_cell_angle_gamma 90.00
loop_
_symmetry_equiv_pos_as_xyz
'x,y,z'
loop_
_atom_site_label
_atom_site_type_symbol
_atom_site_fract_x
_atom_site_fract_y
_atom_site_fract_z
La1 La 0.0000 0.0000 0.0000
La2 La 0.5000 0.5000 0.5000
Te1 Te 0.0000 0.0000 0.5000
Au1 Au 0.5000 0.5000 0.0000
# Calculated volume, Å³/cell: 124.1
# Symmetry: P4/mmm
# N(E_F), states/eV/atom: 1.29
# Uncorrected formation energy, eV per atom: -1.07

6.
# LaTe2Au | Alexandria via LeMat-Bulk | PBEsol | optimized geometry
data_LaTe2Au
_chemical_formula_sum 'La1 Te2 Au1'
_symmetry_space_group_name_H-M 'P 1'
_symmetry_Int_Tables_number 1
_cell_length_a 4.1368
_cell_length_b 4.5194
_cell_length_c 6.5156
_cell_angle_alpha 90.00
_cell_angle_beta 107.14
_cell_angle_gamma 90.00
loop_
_symmetry_equiv_pos_as_xyz
'x,y,z'
loop_
_atom_site_label
_atom_site_type_symbol
_atom_site_fract_x
_atom_site_fract_y
_atom_site_fract_z
La1 La 0.0000 0.0000 0.0000
Te1 Te 0.2475 0.0000 0.5557
Te2 Te 0.5997 0.5000 0.2027
Au1 Au 0.4047 0.5000 0.7727
# Calculated volume, Å³/cell: 116.4
# Symmetry: Pm
# N(E_F), states/eV/atom: 0.07
# Uncorrected formation energy, eV per atom: -0.95

7.
# La2TeAu | Alexandria via LeMat-Bulk | PBEsol | optimized geometry
data_La2TeAu
_chemical_formula_sum 'La2 Te1 Au1'
_symmetry_space_group_name_H-M 'P 1'
_symmetry_Int_Tables_number 1
_cell_length_a 6.3436
_cell_length_b 6.3436
_cell_length_c 6.3436
_cell_angle_alpha 142.14
_cell_angle_beta 135.71
_cell_angle_gamma 59.64
loop_
_symmetry_equiv_pos_as_xyz
'x,y,z'
loop_
_atom_site_label
_atom_site_type_symbol
_atom_site_fract_x
_atom_site_fract_y
_atom_site_fract_z
La1 La 0.0000 0.0000 0.0000
La2 La 0.7360 0.2360 0.5000
Te1 Te 0.2745 0.7745 0.5000
Au1 Au 0.5062 0.5062 0.0000
# Calculated volume, Å³/cell: 108.3
# Symmetry: Imm2
# N(E_F), states/eV/atom: 0.85
# Uncorrected formation energy, eV per atom: -0.92

8.
# La2TeAu | Alexandria via LeMat-Bulk | PBEsol | optimized geometry
data_La2TeAu
_chemical_formula_sum 'La2 Te1 Au1'
_symmetry_space_group_name_H-M 'P 1'
_symmetry_Int_Tables_number 1
_cell_length_a 8.0866
_cell_length_b 8.0866
_cell_length_c 8.0866
_cell_angle_alpha 30.88
_cell_angle_beta 30.88
_cell_angle_gamma 30.88
loop_
_symmetry_equiv_pos_as_xyz
'x,y,z'
loop_
_atom_site_label
_atom_site_type_symbol
_atom_site_fract_x
_atom_site_fract_y
_atom_site_fract_z
La1 La 0.2445 0.2445 0.2445
La2 La 0.7555 0.7555 0.7555
Te1 Te 0.0000 0.0000 0.0000
Au1 Au 0.5000 0.5000 0.5000
# Calculated volume, Å³/cell: 123.5
# Symmetry: R-3m
# N(E_F), states/eV/atom: 1.21
# Uncorrected formation energy, eV per atom: -1.10

9.
# La2TeAu | Alexandria via LeMat-Bulk | PBEsol | optimized geometry
data_La2TeAu
_chemical_formula_sum 'La2 Te1 Au1'
_symmetry_space_group_name_H-M 'P 1'
_symmetry_Int_Tables_number 1
_cell_length_a 4.7511
_cell_length_b 6.2710
_cell_length_c 6.2710
_cell_angle_alpha 38.33
_cell_angle_beta 90.00
_cell_angle_gamma 90.00
loop_
_symmetry_equiv_pos_as_xyz
'x,y,z'
loop_
_atom_site_label
_atom_site_type_symbol
_atom_site_fract_x
_atom_site_fract_y
_atom_site_fract_z
La1 La 0.0000 0.0000 0.0000
La2 La 0.5000 0.2555 0.2555
Te1 Te 0.5000 0.5295 0.5295
Au1 Au 0.0000 0.7449 0.7449
# Calculated volume, Å³/cell: 115.9
# Symmetry: Amm2
# N(E_F), states/eV/atom: 1.14
# Uncorrected formation energy, eV per atom: -1.06

10.
# La4TeAu | Alexandria via LeMat-Bulk | PBEsol | optimized geometry
data_La4TeAu
_chemical_formula_sum 'La4 Te1 Au1'
_symmetry_space_group_name_H-M 'P 1'
_symmetry_Int_Tables_number 1
_cell_length_a 6.2370
_cell_length_b 6.2370
_cell_length_c 6.2370
_cell_angle_alpha 60.00
_cell_angle_beta 60.00
_cell_angle_gamma 60.00
loop_
_symmetry_equiv_pos_as_xyz
'x,y,z'
loop_
_atom_site_label
_atom_site_type_symbol
_atom_site_fract_x
_atom_site_fract_y
_atom_site_fract_z
La1 La 0.3761 0.3761 0.3761
La2 La 0.3761 0.3761 0.8718
La3 La 0.3761 0.8718 0.3761
La4 La 0.8718 0.3761 0.3761
Te1 Te 0.7500 0.7500 0.7500
Au1 Au 0.0000 0.0000 0.0000
# Calculated volume, Å³/cell: 171.6
# Symmetry: F-43m
# N(E_F), states/eV/atom: 1.37
# Uncorrected formation energy, eV per atom: -0.07

11.
# La2TeAu | Alexandria via LeMat-Bulk | PBEsol | optimized geometry
data_La2TeAu
_chemical_formula_sum 'La2 Te1 Au1'
_symmetry_space_group_name_H-M 'P 1'
_symmetry_Int_Tables_number 1
_cell_length_a 3.8617
_cell_length_b 3.8617
_cell_length_c 7.3099
_cell_angle_alpha 90.00
_cell_angle_beta 90.00
_cell_angle_gamma 90.00
loop_
_symmetry_equiv_pos_as_xyz
'x,y,z'
loop_
_atom_site_label
_atom_site_type_symbol
_atom_site_fract_x
_atom_site_fract_y
_atom_site_fract_z
La1 La 0.0000 0.0000 0.2422
La2 La 0.0000 0.0000 0.7578
Te1 Te 0.5000 0.5000 0.5000
Au1 Au 0.5000 0.5000 0.0000
# Calculated volume, Å³/cell: 109.0
# Symmetry: P4/mmm
# N(E_F), states/eV/atom: 0.97
# Uncorrected formation energy, eV per atom: -1.05

12.
# LaTe3Au | Alexandria via LeMat-Bulk | PBEsol | optimized geometry
data_LaTe3Au
_chemical_formula_sum 'La1 Te3 Au1'
_symmetry_space_group_name_H-M 'P 1'
_symmetry_Int_Tables_number 1
_cell_length_a 5.3580
_cell_length_b 5.3580
_cell_length_c 5.3580
_cell_angle_alpha 90.00
_cell_angle_beta 90.00
_cell_angle_gamma 90.00
loop_
_symmetry_equiv_pos_as_xyz
'x,y,z'
loop_
_atom_site_label
_atom_site_type_symbol
_atom_site_fract_x
_atom_site_fract_y
_atom_site_fract_z
La1 La 0.0000 0.0000 0.0000
Te1 Te 0.0000 0.5000 0.5000
Te2 Te 0.5000 0.0000 0.5000
Te3 Te 0.5000 0.5000 0.0000
Au1 Au 0.5000 0.5000 0.5000
# Calculated volume, Å³/cell: 153.8
# Symmetry: Pm-3m
# N(E_F), states/eV/atom: 0.58
# Uncorrected formation energy, eV per atom: -0.41

13.
# La3TiAu | Alexandria via LeMat-Bulk | PBEsol | optimized geometry
data_La3TiAu
_chemical_formula_sum 'La3 Ti1 Au1'
_symmetry_space_group_name_H-M 'P 1'
_symmetry_Int_Tables_number 1
_cell_length_a 5.7016
_cell_length_b 5.7016
_cell_length_c 5.7016
_cell_angle_alpha 90.00
_cell_angle_beta 90.00
_cell_angle_gamma 90.00
loop_
_symmetry_equiv_pos_as_xyz
'x,y,z'
loop_
_atom_site_label
_atom_site_type_symbol
_atom_site_fract_x
_atom_site_fract_y
_atom_site_fract_z
La1 La 0.0000 0.0000 0.5000
La2 La 0.0000 0.5000 0.0000
La3 La 0.5000 0.0000 0.0000
Ti1 Ti 0.5000 0.5000 0.5000
Au1 Au 0.0000 0.0000 0.0000
# Formation enthalpy at 0 K, eV/atom: 0.446
# Calculated volume, Å³/cell: 185.3
# Symmetry: Pm-3m
# N(E_F), states/eV/atom: 2.01

14.
# La2TlAu | Alexandria via LeMat-Bulk | PBEsol | optimized geometry
data_La2TlAu
_chemical_formula_sum 'La2 Tl1 Au1'
_symmetry_space_group_name_H-M 'P 1'
_symmetry_Int_Tables_number 1
_cell_length_a 9.0005
_cell_length_b 9.0005
_cell_length_c 9.0005
_cell_angle_alpha 25.99
_cell_angle_beta 25.99
_cell_angle_gamma 25.99
loop_
_symmetry_equiv_pos_as_xyz
'x,y,z'
loop_
_atom_site_label
_atom_site_type_symbol
_atom_site_fract_x
_atom_site_fract_y
_atom_site_fract_z
La1 La 0.2408 0.2408 0.2408
La2 La 0.7592 0.7592 0.7592
Tl1 Tl 0.0000 0.0000 0.0000
Au1 Au 0.5000 0.5000 0.5000
# Formation enthalpy at 0 K, eV/atom: -0.431
# Calculated volume, Å³/cell: 123.4
# Symmetry: R-3m
# N(E_F), states/eV/atom: 1.30

15.
# La2TlAu2 | Alexandria via LeMat-Bulk | PBEsol | optimized geometry
data_La2TlAu2
_chemical_formula_sum 'La2 Tl1 Au2'
_symmetry_space_group_name_H-M 'P 1'
_symmetry_Int_Tables_number 1
_cell_length_a 5.9628
_cell_length_b 5.9628
_cell_length_c 5.9628
_cell_angle_alpha 123.15
_cell_angle_beta 123.15
_cell_angle_gamma 84.63
loop_
_symmetry_equiv_pos_as_xyz
'x,y,z'
loop_
_atom_site_label
_atom_site_type_symbol
_atom_site_fract_x
_atom_site_fract_y
_atom_site_fract_z
La1 La 0.2500 0.7500 0.5000
La2 La 0.7500 0.2500 0.5000
Tl1 Tl 0.0000 0.0000 0.0000
Au1 Au 0.3545 0.3545 0.0000
Au2 Au 0.6455 0.6455 0.0000
# Formation enthalpy at 0 K, eV/atom: -0.489
# Calculated volume, Å³/cell: 142.1
# Symmetry: I4/mmm
# N(E_F), states/eV/atom: 0.60

16.
# La2TlAu | Alexandria via LeMat-Bulk | PBEsol | optimized geometry
data_La2TlAu
_chemical_formula_sum 'La2 Tl1 Au1'
_symmetry_space_group_name_H-M 'P 1'
_symmetry_Int_Tables_number 1
_cell_length_a 5.2299
_cell_length_b 5.2299
_cell_length_c 5.2299
_cell_angle_alpha 60.00
_cell_angle_beta 60.00
_cell_angle_gamma 60.00
loop_
_symmetry_equiv_pos_as_xyz
'x,y,z'
loop_
_atom_site_label
_atom_site_type_symbol
_atom_site_fract_x
_atom_site_fract_y
_atom_site_fract_z
La1 La 0.0000 0.0000 0.0000
La2 La 0.2500 0.2500 0.2500
Tl1 Tl 0.5000 0.5000 0.5000
Au1 Au 0.7500 0.7500 0.7500
# Formation enthalpy at 0 K, eV/atom: -0.245
# Calculated volume, Å³/cell: 101.2
# Symmetry: F-43m
# N(E_F), states/eV/atom: 1.35

17.
# La2TlAu | Alexandria via LeMat-Bulk | PBEsol | optimized geometry
data_La2TlAu
_chemical_formula_sum 'La2 Tl1 Au1'
_symmetry_space_group_name_H-M 'P 1'
_symmetry_Int_Tables_number 1
_cell_length_a 5.1312
_cell_length_b 5.1312
_cell_length_c 4.1601
_cell_angle_alpha 90.00
_cell_angle_beta 90.00
_cell_angle_gamma 90.00
loop_
_symmetry_equiv_pos_as_xyz
'x,y,z'
loop_
_atom_site_label
_atom_site_type_symbol
_atom_site_fract_x
_atom_site_fract_y
_atom_site_fract_z
La1 La 0.0000 0.5000 0.0000
La2 La 0.5000 0.0000 0.0000
Tl1 Tl 0.0000 0.0000 0.5000
Au1 Au 0.5000 0.5000 0.5000
# Formation enthalpy at 0 K, eV/atom: -0.544
# Calculated volume, Å³/cell: 109.5
# Symmetry: P4/mmm
# N(E_F), states/eV/atom: 0.90

18.
# LaW2Au | Alexandria via LeMat-Bulk | PBEsol | optimized geometry
data_LaW2Au
_chemical_formula_sum 'La1 W2 Au1'
_symmetry_space_group_name_H-M 'P 1'
_symmetry_Int_Tables_number 1
_cell_length_a 4.6023
_cell_length_b 4.6023
_cell_length_c 6.6486
_cell_angle_alpha 93.81
_cell_angle_beta 93.81
_cell_angle_gamma 35.17
loop_
_symmetry_equiv_pos_as_xyz
'x,y,z'
loop_
_atom_site_label
_atom_site_type_symbol
_atom_site_fract_x
_atom_site_fract_y
_atom_site_fract_z
La1 La 0.0000 0.0000 0.0000
W1 W 0.2408 0.2408 0.7065
W2 W 0.4851 0.4851 0.5286
Au1 Au 0.7495 0.7495 0.3140
# Formation enthalpy at 0 K, eV/atom: 0.580
# Calculated volume, Å³/cell: 80.9
# Symmetry: Cm
# N(E_F), states/eV/atom: 0.91

19.
# LaW2Au | Alexandria via LeMat-Bulk | PBEsol | optimized geometry
data_LaW2Au
_chemical_formula_sum 'La1 W2 Au1'
_symmetry_space_group_name_H-M 'P 1'
_symmetry_Int_Tables_number 1
_cell_length_a 5.6125
_cell_length_b 5.6125
_cell_length_c 5.6125
_cell_angle_alpha 144.94
_cell_angle_beta 127.95
_cell_angle_gamma 64.31
loop_
_symmetry_equiv_pos_as_xyz
'x,y,z'
loop_
_atom_site_label
_atom_site_type_symbol
_atom_site_fract_x
_atom_site_fract_y
_atom_site_fract_z
La1 La 0.0000 0.0000 0.0000
W1 W 0.2684 0.7684 0.5000
W2 W 0.4611 0.4611 0.0000
Au1 Au 0.7211 0.2211 0.5000
# Formation enthalpy at 0 K, eV/atom: 0.582
# Calculated volume, Å³/cell: 79.1
# Symmetry: Imm2
# N(E_F), states/eV/atom: 0.72

20.
# LaYAu2 | Alexandria via LeMat-Bulk | PBEsol | optimized geometry
data_LaYAu2
_chemical_formula_sum 'La1 Y1 Au2'
_symmetry_space_group_name_H-M 'P 1'
_symmetry_Int_Tables_number 1
_cell_length_a 4.2455
_cell_length_b 4.2455
_cell_length_c 5.9732
_cell_angle_alpha 90.00
_cell_angle_beta 90.00
_cell_angle_gamma 90.00
loop_
_symmetry_equiv_pos_as_xyz
'x,y,z'
loop_
_atom_site_label
_atom_site_type_symbol
_atom_site_fract_x
_atom_site_fract_y
_atom_site_fract_z
La1 La 0.0000 0.0000 0.0000
Y1 Y 0.5000 0.5000 0.4992
Au1 Au 0.0000 0.0000 0.5000
Au2 Au 0.5000 0.5000 0.9991
# Formation enthalpy at 0 K, eV/atom: -0.662
# Calculated volume, Å³/cell: 107.7
# Symmetry: P4mm
# N(E_F), states/eV/atom: 0.82